Below is a relaxed Pr2HfGe3Pt4 crystal, with properties calculated at the PBE level.

```
data_Pr2HfGe3Pt4
_chemical_formula_sum 'Pr2 Hf1 Ge3 Pt4'
_symmetry_space_group_name_H-M 'P -4 m 2'
_symmetry_Int_Tables_number 115
_symmetry_space_group_name_Hall 'P -4 -2'
_cell_length_a 4.3313
_cell_length_b 4.3313
_cell_length_c 10.7914
_cell_angle_alpha 90.00
_cell_angle_beta 90.00
_cell_angle_gamma 90.00
loop_
_atom_site_label
_atom_site_type_symbol
_atom_site_fract_x
_atom_site_fract_y
_atom_site_fract_z
Pr1 Pr 0.0000 0.5000 0.2325
Hf1 Hf 0.0000 0.0000 0.5000
Ge1 Ge 0.0000 0.5000 0.8715
Ge2 Ge 0.5000 0.5000 0.5000
Pt1 Pt 0.0000 0.0000 0.0000
Pt2 Pt 0.0000 0.5000 0.6420
Pt3 Pt 0.5000 0.5000 0.0000
```

Its density of states at the Fermi level is 0.95 states/eV/atom. The value obtained for the total energy is -67.1 eV/cell. Its crystal system is tetragonal. The calculation puts the formation enthalpy at 0 K at -954 meV per atom.

***

Below is a relaxed Pr2HfGe3Rh4 crystal, with properties calculated at the PBE level.

```
data_Pr2HfGe3Rh4
_chemical_formula_sum 'Pr2 Hf1 Ge3 Rh4'
_symmetry_space_group_name_H-M 'P -4 m 2'
_symmetry_Int_Tables_number 115
_symmetry_space_group_name_Hall 'P -4 -2'
_cell_length_a 4.1969
_cell_length_b 4.1969
_cell_length_c 10.9340
_cell_angle_alpha 90.00
_cell_angle_beta 90.00
_cell_angle_gamma 90.00
loop_
_atom_site_label
_atom_site_type_symbol
_atom_site_fract_x
_atom_site_fract_y
_atom_site_fract_z
Pr1 Pr 0.0000 0.5000 0.2361
Hf1 Hf 0.0000 0.0000 0.5000
Ge1 Ge 0.0000 0.5000 0.8758
Ge2 Ge 0.5000 0.5000 0.5000
Rh1 Rh 0.0000 0.0000 0.0000
Rh2 Rh 0.0000 0.5000 0.6458
Rh3 Rh 0.5000 0.5000 0.0000
```

Its density of states at the Fermi level is 0.44 states/eV/atom. The value obtained for the total energy is -71.7 eV/cell. Its crystal system is tetragonal. The calculation puts the formation enthalpy at 0 K at -892 meV per atom.

***

Below is a relaxed HfGe2Pt2 crystal, with properties calculated at the PBE level.

```
data_HfGe2Pt2
_chemical_formula_sum 'Hf2 Ge4 Pt4'
_symmetry_space_group_name_H-M 'P 4/m b m'
_symmetry_Int_Tables_number 127
_symmetry_space_group_name_Hall '-P 4 2ab'
_cell_length_a 7.4427
_cell_length_b 7.4427
_cell_length_c 3.0683
_cell_angle_alpha 90.00
_cell_angle_beta 90.00
_cell_angle_gamma 90.00
loop_
_atom_site_label
_atom_site_type_symbol
_atom_site_fract_x
_atom_site_fract_y
_atom_site_fract_z
Hf1 Hf 0.0000 0.0000 0.0000
Ge1 Ge 0.1459 0.3541 0.0000
Pt1 Pt 0.1534 0.6534 0.5000
```

Its density of states at the Fermi level is 0.63 states/eV/atom. The value obtained for the total energy is -66.5 eV/cell. Its crystal system is tetragonal. The calculation puts the formation enthalpy at 0 K at -392 meV per atom.

***

Below is a relaxed HfGe2Pt2 crystal, with properties calculated at the PBE level.

```
data_HfGe2Pt2
_chemical_formula_sum 'Hf2 Ge4 Pt4'
_symmetry_space_group_name_H-M 'P 4/m b m'
_symmetry_Int_Tables_number 127
_symmetry_space_group_name_Hall '-P 4 2ab'
_cell_length_a 7.2368
_cell_length_b 7.2368
_cell_length_c 3.3923
_cell_angle_alpha 90.00
_cell_angle_beta 90.00
_cell_angle_gamma 90.00
loop_
_atom_site_label
_atom_site_type_symbol
_atom_site_fract_x
_atom_site_fract_y
_atom_site_fract_z
Hf1 Hf 0.0000 0.0000 0.0000
Ge1 Ge 0.1728 0.3272 0.5000
Pt1 Pt 0.1342 0.6342 0.0000
```

Its density of states at the Fermi level is 0.82 states/eV/atom. The value obtained for the total energy is -66.1 eV/cell. Its crystal system is tetragonal. The calculation puts the formation enthalpy at 0 K at -352 meV per atom.

***

Below is a relaxed HfGePt6 crystal, with properties calculated at the PBE level.

```
data_HfGePt6
_chemical_formula_sum 'Hf2 Ge2 Pt12'
_symmetry_space_group_name_H-M 'A m m 2'
_symmetry_Int_Tables_number 38
_symmetry_space_group_name_Hall 'A 2 -2'
_cell_length_a 4.6233
_cell_length_b 5.6713
_cell_length_c 9.8245
_cell_angle_alpha 90.00
_cell_angle_beta 90.00
_cell_angle_gamma 90.00
loop_
_atom_site_label
_atom_site_type_symbol
_atom_site_fract_x
_atom_site_fract_y
_atom_site_fract_z
Hf1 Hf 0.0000 0.0000 0.0000
Ge1 Ge 0.5000 0.0000 0.3353
Pt1 Pt 0.0000 0.0000 0.4988
Pt2 Pt 0.0000 0.2487 0.2504
Pt3 Pt 0.5000 0.0000 0.8322
Pt4 Pt 0.5000 0.2486 0.5841
```

Its density of states at the Fermi level is 0.76 states/eV/atom. The value obtained for the total energy is -110.7 eV/cell. Its crystal system is orthorhombic. The calculation puts the formation enthalpy at 0 K at -566 meV per atom.

***

Below is a relaxed Hf2Ge2Pt crystal, with properties calculated at the PBE level.

```
data_Hf2Ge2Pt
_chemical_formula_sum 'Hf4 Ge4 Pt2'
_symmetry_space_group_name_H-M 'I 4/m m m'
_symmetry_Int_Tables_number 139
_symmetry_space_group_name_Hall '-I 4 2'
_cell_length_a 3.5239
_cell_length_b 3.5239
_cell_length_c 15.2999
_cell_angle_alpha 90.00
_cell_angle_beta 90.00
_cell_angle_gamma 90.00
loop_
_atom_site_label
_atom_site_type_symbol
_atom_site_fract_x
_atom_site_fract_y
_atom_site_fract_z
Hf1 Hf 0.0000 0.0000 0.1027
Ge1 Ge 0.0000 0.5000 0.2500
Pt1 Pt 0.0000 0.0000 0.5000
```

Its density of states at the Fermi level is 0.64 states/eV/atom. The value obtained for the total energy is -74.8 eV/cell. Its crystal system is tetragonal. The calculation puts the formation enthalpy at 0 K at -444 meV per atom.

***

Below is a relaxed Hf2Ge2Pt crystal, with properties calculated at the PBE level.

```
data_Hf2Ge2Pt
_chemical_formula_sum 'Hf4 Ge4 Pt2'
_symmetry_space_group_name_H-M 'P 4/m b m'
_symmetry_Int_Tables_number 127
_symmetry_space_group_name_Hall '-P 4 2ab'
_cell_length_a 7.8308
_cell_length_b 7.8308
_cell_length_c 3.1095
_cell_angle_alpha 90.00
_cell_angle_beta 90.00
_cell_angle_gamma 90.00
loop_
_atom_site_label
_atom_site_type_symbol
_atom_site_fract_x
_atom_site_fract_y
_atom_site_fract_z
Hf1 Hf 0.1441 0.3559 0.0000
Ge1 Ge 0.1568 0.6568 0.5000
Pt1 Pt 0.0000 0.0000 0.0000
```

Its density of states at the Fermi level is 0.69 states/eV/atom. The value obtained for the total energy is -72.5 eV/cell. Its crystal system is tetragonal. The calculation puts the formation enthalpy at 0 K at -214 meV per atom.

***

Below is a relaxed HfGe2Pt8 crystal, with properties calculated at the PBE level.

```
data_HfGe2Pt8
_chemical_formula_sum 'Hf2 Ge4 Pt16'
_symmetry_space_group_name_H-M 'C 1 2/m 1'
_symmetry_Int_Tables_number 12
_symmetry_space_group_name_Hall '-C 2y'
_cell_length_a 13.4515
_cell_length_b 4.0184
_cell_length_c 7.3554
_cell_angle_alpha 90.00
_cell_angle_beta 90.48
_cell_angle_gamma 90.00
loop_
_atom_site_label
_atom_site_type_symbol
_atom_site_fract_x
_atom_site_fract_y
_atom_site_fract_z
Hf1 Hf 0.0000 0.0000 0.0000
Ge1 Ge 0.2310 0.0000 0.2506
Pt1 Pt 0.0544 0.0000 0.3492
Pt2 Pt 0.0699 0.5000 0.7727
Pt3 Pt 0.1817 0.5000 0.4419
Pt4 Pt 0.1963 0.0000 0.9102
```

Its density of states at the Fermi level is 0.43 states/eV/atom. The value obtained for the total energy is -143.9 eV/cell. Its crystal system is monoclinic. The calculation puts the formation enthalpy at 0 K at -404 meV per atom.

***

Below is a relaxed HfGePt3 crystal, with properties calculated at the PBE level.

```
data_HfGePt3
_chemical_formula_sum 'Hf1 Ge1 Pt3'
_symmetry_space_group_name_H-M 'P m -3 m'
_symmetry_Int_Tables_number 221
_symmetry_space_group_name_Hall '-P 4 2 3'
_cell_length_a 4.6276
_cell_length_b 4.6276
_cell_length_c 4.6276
_cell_angle_alpha 90.00
_cell_angle_beta 90.00
_cell_angle_gamma 90.00
loop_
_atom_site_label
_atom_site_type_symbol
_atom_site_fract_x
_atom_site_fract_y
_atom_site_fract_z
Hf1 Hf 0.0000 0.0000 0.0000
Ge1 Ge 0.5000 0.5000 0.5000
Pt1 Pt 0.0000 0.5000 0.5000
```

Its density of states at the Fermi level is 0.83 states/eV/atom. The value obtained for the total energy is -32.1 eV/cell. Its crystal system is cubic. The calculation puts the formation enthalpy at 0 K at 110 meV per atom.

***

Below is a relaxed HfGePt crystal, with properties calculated at the PBE level.

```
data_HfGePt
_chemical_formula_sum 'Hf1 Ge1 Pt1'
_symmetry_space_group_name_H-M 'P -6 m 2'
_symmetry_Int_Tables_number 187
_symmetry_space_group_name_Hall 'P -6 2'
_cell_length_a 4.3687
_cell_length_b 4.3687
_cell_length_c 3.1258
_cell_angle_alpha 90.00
_cell_angle_beta 90.00
_cell_angle_gamma 120.00
loop_
_atom_site_label
_atom_site_type_symbol
_atom_site_fract_x
_atom_site_fract_y
_atom_site_fract_z
Hf1 Hf 0.0000 0.0000 0.0000
Ge1 Ge 0.6667 0.3333 0.5000
Pt1 Pt 0.3333 0.6667 0.5000
```

Its density of states at the Fermi level is 0.36 states/eV/atom. The value obtained for the total energy is -23.2 eV/cell. Its crystal system is hexagonal. The calculation puts the formation enthalpy at 0 K at -875 meV per atom.

***

Below is a relaxed Hf3Ge2Pt crystal, with properties calculated at the PBE level.

```
data_Hf3Ge2Pt
_chemical_formula_sum 'Hf12 Ge8 Pt4'
_symmetry_space_group_name_H-M 'P n m a'
_symmetry_Int_Tables_number 62
_symmetry_space_group_name_Hall '-P 2ac 2n'
_cell_length_a 11.1236
_cell_length_b 3.9805
_cell_length_c 10.3202
_cell_angle_alpha 90.00
_cell_angle_beta 90.00
_cell_angle_gamma 90.00
loop_
_atom_site_label
_atom_site_type_symbol
_atom_site_fract_x
_atom_site_fract_y
_atom_site_fract_z
Hf1 Hf 0.0336 0.2500 0.1167
Hf2 Hf 0.1251 0.7500 0.5729
Hf3 Hf 0.1938 0.2500 0.8280
Ge1 Ge 0.0127 0.7500 0.3123
Ge2 Ge 0.1901 0.7500 0.0349
Pt1 Pt 0.1460 0.2500 0.3591
```

Its density of states at the Fermi level is 0.60 states/eV/atom. The value obtained for the total energy is -197.8 eV/cell. Its crystal system is orthorhombic. The calculation puts the formation enthalpy at 0 K at -720 meV per atom.

***

Below is a relaxed HfGePt crystal, with properties calculated at the PBE level.

```
data_HfGePt
_chemical_formula_sum 'Hf4 Ge4 Pt4'
_symmetry_space_group_name_H-M 'P n m a'
_symmetry_Int_Tables_number 62
_symmetry_space_group_name_Hall '-P 2ac 2n'
_cell_length_a 6.6577
_cell_length_b 3.9911
_cell_length_c 7.7211
_cell_angle_alpha 90.00
_cell_angle_beta 90.00
_cell_angle_gamma 90.00
loop_
_atom_site_label
_atom_site_type_symbol
_atom_site_fract_x
_atom_site_fract_y
_atom_site_fract_z
Hf1 Hf 0.0293 0.2500 0.1832
Ge1 Ge 0.2500 0.2500 0.8787
Pt1 Pt 0.1446 0.2500 0.5645
```

Its density of states at the Fermi level is 0.00 states/eV/atom. The value obtained for the total energy is -93.4 eV/cell. Its crystal system is orthorhombic. The calculation puts the formation enthalpy at 0 K at -915 meV per atom.